(1)
Density functional theory data (SCAN) for Y2HgCl at its PBEsol-relaxed geometry.

ΔE_f (raw), eV per atom: -0.85
SG: Cmmm, No. 65

```
4
Lattice="1.880 -2.833 0.000 1.880 2.833 0.000 0.000 0.000 9.106" Properties=species:S:1:pos:R:3 pbc="T T T"
Y 0.000 0.000 2.203
Y 0.000 0.000 6.903
Hg 1.880 0.000 4.553
Cl 1.880 0.000 0.000
```

***

(2)
Density functional theory data (SCAN) for TaMnPt2 at its PBEsol-relaxed geometry.

Formation enthalpy at 0 K, meV/atom: -761
SG: I-4m2, No. 119

```
4
Lattice="-1.926 1.926 3.991 1.926 -1.926 3.991 1.926 1.926 -3.991" Properties=species:S:1:pos:R:3 pbc="T T T"
Ta 0.000 0.000 0.000
Mn 0.000 1.926 1.995
Pt 1.926 0.000 1.995
Pt 0.000 0.000 3.991
```

***

(3)
Density functional theory data (SCAN) for K2NiF6 at its PBEsol-relaxed geometry.

ΔE_f (raw), eV per atom: -2.48
SG: Fm-3m, No. 225

```
9
Lattice="0.000 4.010 4.010 4.010 0.000 4.010 4.010 4.010 0.000" Properties=species:S:1:pos:R:3 pbc="T T T"
K 2.005 2.005 2.005
K 6.016 6.016 6.016
Ni 0.000 0.000 0.000
F 4.010 4.010 1.788
F 4.010 1.788 4.010
F 6.233 4.010 4.010
F 1.788 4.010 4.010
F 4.010 6.233 4.010
F 4.010 4.010 6.233
```

***

(4)
Density functional theory data (SCAN) for SrAsPtBr2 at its PBEsol-relaxed geometry.

ΔE_f (raw), eV per atom: 0.42
SG: P4/mmm, No. 123

```
5
Lattice="5.551 0.000 0.000 0.000 5.551 0.000 0.000 0.000 6.162" Properties=species:S:1:pos:R:3 pbc="T T T"
Sr 0.000 0.000 0.000
As 0.000 0.000 3.081
Pt 2.775 2.775 3.081
Br 0.000 2.775 0.000
Br 2.775 0.000 0.000
```

***

(5)
Density functional theory data (SCAN) for InRu2Rh at its PBEsol-relaxed geometry.

Formation enthalpy at 0 K, meV/atom: 131
SG: I-4m2, No. 119

```
4
Lattice="-1.942 1.942 3.898 1.942 -1.942 3.898 1.942 1.942 -3.898" Properties=species:S:1:pos:R:3 pbc="T T T"
In 0.000 0.000 0.000
Ru 1.942 0.000 1.949
Ru 0.000 0.000 3.898
Rh 0.000 1.942 1.949
```

***

(6)
Density functional theory data (SCAN) for BaAlCo3 at its PBEsol-relaxed geometry.

Formation enthalpy at 0 K, meV/atom: 2198
SG: Pm-3m, No. 221

```
5
Lattice="4.711 0.000 0.000 0.000 4.711 0.000 0.000 0.000 4.711" Properties=species:S:1:pos:R:3 pbc="T T T"
Ba 0.000 0.000 0.000
Al 2.355 2.355 2.355
Co 0.000 0.000 2.355
Co 0.000 2.355 0.000
Co 2.355 0.000 0.000
```

***

(7)
Density functional theory data (SCAN) for ScMnIn2 at its PBEsol-relaxed geometry.

Formation enthalpy at 0 K, meV/atom: -336
SG: P4/mmm, No. 123

```
4
Lattice="3.106 0.000 0.000 0.000 3.106 0.000 0.000 0.000 7.901" Properties=species:S:1:pos:R:3 pbc="T T T"
Sc 0.000 0.000 0.000
Mn 0.000 0.000 3.950
In 1.553 1.553 2.163
In 1.553 1.553 5.738
```

***

(8)
Density functional theory data (SCAN) for AgPRh2 at its PBEsol-relaxed geometry.

Formation enthalpy at 0 K, meV/atom: 263
SG: I-4m2, No. 119

```
4
Lattice="-1.884 1.884 3.936 1.884 -1.884 3.936 1.884 1.884 -3.936" Properties=species:S:1:pos:R:3 pbc="T T T"
Ag 0.000 0.000 0.000
P 0.000 1.884 1.968
Rh 1.884 0.000 1.968
Rh 0.000 0.000 3.936
```

***

(9)
Density functional theory data (SCAN) for Al3GaN4 at its PBEsol-relaxed geometry.

ΔE_f (raw), eV per atom: -1.43
SG: Pm, No. 6

```
8
Lattice="5.042 0.000 0.000 0.000 3.129 0.000 -0.003 0.000 5.418" Properties=species:S:1:pos:R:3 pbc="T T T"
Al 0.000 0.000 0.000
Al -0.001 1.565 2.692
Al 2.525 1.565 0.891
Ga 2.527 0.000 3.606
N 1.895 1.565 2.664
N 1.906 0.000 0.029
N 4.430 1.565 0.892
N 4.484 0.000 3.605
```

***

(10)
Density functional theory data (SCAN) for Rb2AlTlRu at its PBEsol-relaxed geometry.

Formation enthalpy at 0 K, meV/atom: 1035
SG: P4/mmm, No. 123

```
5
Lattice="5.728 0.000 0.000 0.000 5.728 0.000 0.000 0.000 5.258" Properties=species:S:1:pos:R:3 pbc="T T T"
Rb 0.000 2.864 0.000
Rb 2.864 0.000 0.000
Al 0.000 0.000 2.629
Tl 2.864 2.864 2.629
Ru 2.864 2.864 0.000
```

***

(11)
Density functional theory data (SCAN) for Mg2BiH2 at its PBEsol-relaxed geometry.

Raw total energy, eV per atom: -19.29
SG: I4/mmm, No. 139

```
5
Lattice="-1.759 1.759 6.130 1.759 -1.759 6.130 1.759 1.759 -6.130" Properties=species:S:1:pos:R:3 pbc="T T T"
Mg 0.000 0.000 2.012
Mg 0.000 0.000 10.248
Bi 0.000 0.000 6.130
H 1.759 0.000 3.065
H 0.000 1.759 3.065
```

***

(12)
Density functional theory data (SCAN) for Zn2NiSb at its PBEsol-relaxed geometry.

ΔE_f (raw), eV per atom: 0.11
SG: Pmmm, No. 47

```
4
Lattice="3.513 0.000 0.000 0.000 3.528 0.000 0.000 0.000 5.076" Properties=species:S:1:pos:R:3 pbc="T T T"
Zn 0.000 0.000 1.174
Zn 0.000 0.000 3.902
Ni 1.756 1.764 0.000
Sb 1.756 1.764 2.538
```